No. 1
Here is crystalline CaCr3Re at its relaxed geometry from Alexandria. Energies are from GGA-PBE.

Output
DOS(E_F) in states/eV/atom: 0.951
E in eV per atom: -7.7091
Magnetization in μB per atom: 1.7367

a b c (Å): 4.762 4.762 4.762
angles (deg): 90.00 90.00 90.00
Space group Pm-3m (No. 221)
Unique sites:
Ca (0.000, 0.000, 0.000) (multiplicity 1)
Cr (0.000, 0.500, 0.500) (multiplicity 3)
Re (0.500, 0.500, 0.500) (multiplicity 1)

No. 2
Here is crystalline CaCrRe at its relaxed geometry from Alexandria. Energies are from GGA-PBE.

Output
DOS(E_F) in states/eV/atom: 0.962
E in eV per atom: -7.5469
Magnetization in μB per atom: 0.4435

a b c (Å): 3.159 3.159 11.498
angles (deg): 90.00 90.00 90.00
Space group I4mm (No. 107)
Unique sites:
Ca (0.000, 0.000, 0.000) (multiplicity 2)
Cr (0.000, 0.000, 0.710) (multiplicity 2)
Re (0.000, 0.000, 0.301) (multiplicity 2)

No. 3
Here is crystalline CaCrRe at its relaxed geometry from Alexandria. Energies are from GGA-PBE.

Output
DOS(E_F) in states/eV/atom: 0.456
E in eV per atom: -6.0082
Magnetization in μB per atom: 0.4810

a b c (Å): 6.602 6.602 6.602
angles (deg): 90.00 90.00 90.00
Space group F-43m (No. 216)
Unique sites:
Ca (0.000, 0.000, 0.000) (multiplicity 4)
Cr (0.250, 0.250, 0.750) (multiplicity 4)
Re (0.250, 0.250, 0.250) (multiplicity 4)

No. 4
Here is crystalline CaCrRe at its relaxed geometry from Alexandria. Energies are from GGA-PBE.

Output
DOS(E_F) in states/eV/atom: 0.921
E in eV per atom: -6.9047
Magnetization in μB per atom: 0.3564

a b c (Å): 6.170 6.170 6.170
angles (deg): 90.00 90.00 90.00
Space group F-43m (No. 216)
Unique sites:
Ca (0.000, 0.000, 0.000) (multiplicity 4)
Cr (0.250, 0.250, 0.750) (multiplicity 4)
Re (0.000, 0.000, 0.500) (multiplicity 4)

No. 5
Here is crystalline CaCrRe3 at its relaxed geometry from Alexandria. Energies are from GGA-PBE.

Output
DOS(E_F) in states/eV/atom: 1.557
E in eV per atom: -8.5563
Magnetization in μB per atom: 0.0020

a b c (Å): 4.557 4.557 4.557
angles (deg): 90.00 90.00 90.00
Space group Pm-3m (No. 221)
Unique sites:
Ca (0.000, 0.000, 0.000) (multiplicity 1)
Cr (0.500, 0.500, 0.500) (multiplicity 1)
Re (0.000, 0.500, 0.500) (multiplicity 3)

No. 6
Here is crystalline Ca3CrRe at its relaxed geometry from Alexandria. Energies are from GGA-PBE.

Output
DOS(E_F) in states/eV/atom: 0.580
E in eV per atom: -4.0551
Magnetization in μB per atom: 1.3289

a b c (Å): 5.370 5.370 5.370
angles (deg): 90.00 90.00 90.00
Space group Pm-3m (No. 221)
Unique sites:
Ca (0.000, 0.000, 0.500) (multiplicity 3)
Cr (0.000, 0.000, 0.000) (multiplicity 1)
Re (0.500, 0.500, 0.500) (multiplicity 1)

No. 7
Here is crystalline CaCrRe3 at its relaxed geometry from Alexandria. Energies are from GGA-PBE.

Output
DOS(E_F) in states/eV/atom: 1.290
E in eV per atom: -6.5533
Magnetization in μB per atom: 0.4683

a b c (Å): 4.563 4.563 4.563
angles (deg): 90.00 90.00 90.00
Space group Pm-3m (No. 221)
Unique sites:
Ca (0.000, 0.000, 0.000) (multiplicity 1)
Cr (0.500, 0.500, 0.500) (multiplicity 1)
Re (0.000, 0.000, 0.500) (multiplicity 3)

No. 8
Here is crystalline CaCrRe at its relaxed geometry from Alexandria. Energies are from GGA-PBE.

Output
DOS(E_F) in states/eV/atom: 0.795
E in eV per atom: -7.2483
Magnetization in μB per atom: 0.0000

a b c (Å): 3.0402 3.0402 6.9433
angles (deg): 90.00 90.00 120.00
Space group P3m1 (No. 156)
Unique sites:
Ca (0.0000, 0.0000, 0.0000) (multiplicity 1)
Cr (0.6667, 0.3333, 0.3845) (multiplicity 1)
Re (0.3333, 0.6667, 0.6172) (multiplicity 1)

No. 9
Here is crystalline CaCrRe at its relaxed geometry from Alexandria. Energies are from GGA-PBE.

Output
DOS(E_F) in states/eV/atom: 1.442
E in eV per atom: -7.2786
Magnetization in μB per atom: 0.0543

a b c (Å): 3.192 4.706 14.024
angles (deg): 90.00 90.00 90.00
Space group Fmm2 (No. 42)
Unique sites:
Ca (0.000, 0.000, 0.000) (multiplicity 4)
Cr (0.000, 0.000, 0.314) (multiplicity 4)
Re (0.000, 0.000, 0.688) (multiplicity 4)

No. 10
Here is crystalline CaCrRe at its relaxed geometry from Alexandria. Energies are from GGA-PBE.

Output
DOS(E_F) in states/eV/atom: 1.045
E in eV per atom: -7.1789
Magnetization in μB per atom: 0.0000

a b c (Å): 4.6369 4.6369 2.6926
angles (deg): 90.00 90.00 120.00
Space group P3m1 (No. 156)
Unique sites:
Ca (0.0000, 0.0000, 0.0000) (multiplicity 1)
Cr (0.6667, 0.3333, 0.3653) (multiplicity 1)
Re (0.3333, 0.6667, 0.6031) (multiplicity 1)

No. 11
Here is crystalline CaCr4Re at its relaxed geometry from Alexandria. Energies are from GGA-PBE.

Output
DOS(E_F) in states/eV/atom: 0.664
E in eV per atom: -8.3828
Magnetization in μB per atom: 0.0000

a b c (Å): 6.983 6.983 6.983
angles (deg): 90.00 90.00 90.00
Space group F-43m (No. 216)
Unique sites:
Ca (0.000, 0.000, 0.000) (multiplicity 4)
Cr (0.124, 0.124, 0.624) (multiplicity 16)
Re (0.250, 0.250, 0.250) (multiplicity 4)

No. 12
Here is crystalline Ca2ScCrRe at its relaxed geometry from Alexandria. Energies are from GGA-PBE.

Output
DOS(E_F) in states/eV/atom: 0.842
E in eV per atom: -5.0460
Magnetization in μB per atom: 0.9365

a b c (Å): 5.768 5.768 4.566
angles (deg): 90.00 90.00 90.00
Space group P4/mmm (No. 123)
Unique sites:
Ca (0.000, 0.500, 0.000) (multiplicity 2)
Sc (0.000, 0.000, 0.000) (multiplicity 1)
Cr (0.500, 0.500, 0.500) (multiplicity 1)
Re (0.000, 0.000, 0.500) (multiplicity 1)

| no. | ΔE_f (eV/atom) |
| --- | --- |
| 1 | 0.95 |
| 2 | 0.48 |
| 3 | 2.02 |
| 4 | 1.12 |
| 5 | 1.24 |
| 6 | 1.56 |
| 7 | 3.24 |
| 8 | 0.78 |
| 9 | 0.75 |
| 10 | 0.85 |
| 11 | 0.44 |
| 12 | 1.44 |